Record 1
The following is a DFT calculation (GGA-PBEsol) of a geometry-optimized U2Co3Ge structure.

Properties
Electronic total energy in eV/atom: -9.14
Magnetization in μB/cell: 0.64
Density of states at the Fermi level in states/eV per atom: 1.5310

a = 5.0766 Å, b = 5.0766 Å, c = 7.5140 Å
α = 90.00°, β = 90.00°, γ = 120.00°
Space group P6_3/mmc (No. 194)
Asymmetric unit:
U  0.3333  0.6667  0.0744 x4
Co  0.1705  0.3410  0.7500 x6
Ge  0.0000  0.0000  0.0000 x2


Record 2
The following is a DFT calculation (GGA-PBEsol) of a geometry-optimized UCo2Ge2 structure.

Properties
Electronic total energy in eV/atom: -7.87
Magnetization in μB/cell: 1.17
Density of states at the Fermi level in states/eV per atom: 0.8052

a = 3.990 Å, b = 3.990 Å, c = 9.261 Å
α = 90.00°, β = 90.00°, γ = 90.00°
Space group P4/nmm (No. 129, origin choice 2)
Asymmetric unit:
U  0.250  0.250  0.243 x2
Co  0.250  0.250  0.629 x2
Co  0.250  0.750  0.000 x2
Ge  0.250  0.250  0.870 x2
Ge  0.250  0.750  0.500 x2


Record 3
The following is a DFT calculation (GGA-PBEsol) of a geometry-optimized YCo4Ge structure.

Properties
Electronic total energy in eV/atom: -7.40
Magnetization in μB/cell: 6.41
Density of states at the Fermi level in states/eV per atom: 1.8065

a = 4.878 Å, b = 8.368 Å, c = 3.925 Å
α = 90.00°, β = 90.00°, γ = 90.00°
Space group Cmmm (No. 65)
Asymmetric unit:
Y  0.000  0.000  0.000 x2
Co  0.000  0.324  0.000 x4
Co  0.250  0.250  0.500 x4
Ge  0.000  0.500  0.500 x2


Record 4
The following is a DFT calculation (GGA-PBEsol) of a geometry-optimized YCo2Ge2 structure.

Properties
Electronic total energy in eV/atom: -6.93
Magnetization in μB/cell: 0.01
Density of states at the Fermi level in states/eV per atom: 0.9996

a = 4.098 Å, b = 4.098 Å, c = 9.127 Å
α = 90.00°, β = 90.00°, γ = 90.00°
Space group I4/mmm (No. 139)
Asymmetric unit:
Y  0.000  0.000  0.000 x2
Co  0.000  0.000  0.378 x4
Ge  0.000  0.500  0.250 x4


Record 5
The following is a DFT calculation (GGA-PBEsol) of a geometry-optimized YCoGe structure.

Properties
Electronic total energy in eV/atom: -7.23
Magnetization in μB/cell: 0.00
Density of states at the Fermi level in states/eV per atom: 0.6531

a = 6.827 Å, b = 4.187 Å, c = 7.041 Å
α = 90.00°, β = 90.00°, γ = 90.00°
Space group Pnma (No. 62)
Asymmetric unit:
Y  0.012  0.250  0.195 x4
Co  0.152  0.750  0.433 x4
Ge  0.201  0.250  0.603 x4


Record 6
The following is a DFT calculation (GGA-PBEsol) of a geometry-optimized Y3CoGe structure.

Properties
Electronic total energy in eV/atom: -6.80
Magnetization in μB/cell: 0.00
Density of states at the Fermi level in states/eV per atom: 0.8431

a = 4.982 Å, b = 4.982 Å, c = 4.982 Å
α = 90.00°, β = 90.00°, γ = 90.00°
Space group Pm-3m (No. 221)
Asymmetric unit:
Y  0.000  0.000  0.500 x3
Co  0.000  0.000  0.000 x1
Ge  0.500  0.500  0.500 x1


Record 7
The following is a DFT calculation (GGA-PBEsol) of a geometry-optimized YCo2Ge2 structure.

Properties
Electronic total energy in eV/atom: -7.12
Magnetization in μB/cell: 0.00
Density of states at the Fermi level in states/eV per atom: 0.5684

a = 3.901 Å, b = 3.901 Å, c = 9.995 Å
α = 90.00°, β = 90.00°, γ = 90.00°
Space group I4/mmm (No. 139)
Asymmetric unit:
Y  0.000  0.000  0.000 x2
Co  0.000  0.500  0.250 x4
Ge  0.000  0.000  0.372 x4


Record 8
The following is a DFT calculation (GGA-PBEsol) of a geometry-optimized Y3Co4Ge13 structure.

Properties
Electronic total energy in eV/atom: -6.28
Magnetization in μB/cell: 0.00
Density of states at the Fermi level in states/eV per atom: 0.3492

a = 8.660 Å, b = 8.660 Å, c = 8.660 Å
α = 90.00°, β = 90.00°, γ = 90.00°
Space group Pm-3n (No. 223)
Asymmetric unit:
Y  0.000  0.250  0.500 x6
Co  0.250  0.250  0.250 x8
Ge  0.000  0.000  0.000 x2
Ge  0.000  0.303  0.153 x24


Record 9
The following is a DFT calculation (GGA-PBEsol) of a geometry-optimized ZnCo2Ge structure.

Properties
Electronic total energy in eV/atom: -5.70
Magnetization in μB/cell: 0.40
Density of states at the Fermi level in states/eV per atom: 0.6022

a = 5.653 Å, b = 5.653 Å, c = 5.653 Å
α = 90.00°, β = 90.00°, γ = 90.00°
Space group Fm-3m (No. 225)
Asymmetric unit:
Zn  0.000  0.000  0.000 x4
Co  0.250  0.250  0.250 x8
Ge  0.000  0.000  0.500 x4


Record 10
The following is a DFT calculation (GGA-PBEsol) of a geometry-optimized Zr4Co7Ge6 structure.

Properties
Electronic total energy in eV/atom: -7.76
Magnetization in μB/cell: 0.00
Density of states at the Fermi level in states/eV per atom: 0.3719

a = 7.778 Å, b = 7.778 Å, c = 7.778 Å
α = 90.00°, β = 90.00°, γ = 90.00°
Space group Im-3m (No. 229)
Asymmetric unit:
Zr  0.250  0.250  0.250 x8
Co  0.000  0.000  0.000 x2
Co  0.000  0.250  0.500 x12
Ge  0.000  0.000  0.319 x12


Record 11
The following is a DFT calculation (GGA-PBEsol) of a geometry-optimized ZrCoGe structure.

Properties
Electronic total energy in eV/atom: -8.04
Magnetization in μB/cell: 0.00
Density of states at the Fermi level in states/eV per atom: 0.7448

a = 6.484 Å, b = 3.897 Å, c = 7.130 Å
α = 90.00°, β = 90.00°, γ = 90.00°
Space group Pnma (No. 62)
Asymmetric unit:
Zr  0.006  0.250  0.199 x4
Co  0.142  0.250  0.570 x4
Ge  0.224  0.750  0.396 x4


Record 12
The following is a DFT calculation (GGA-PBEsol) of a geometry-optimized ZrCoGe2 structure.

Properties
Electronic total energy in eV/atom: -6.80
Magnetization in μB/cell: 4.33
Density of states at the Fermi level in states/eV per atom: 1.2241

a = 6.267 Å, b = 6.267 Å, c = 6.267 Å
α = 90.00°, β = 90.00°, γ = 90.00°
Space group Fm-3m (No. 225)
Asymmetric unit:
Zr  0.000  0.000  0.000 x4
Co  0.000  0.000  0.500 x4
Ge  0.250  0.250  0.250 x8